1.
Nb14MoPd: relaxed, PBE-GGA.

Total magnetization ... 0.0 Bohr magnetons per cell
Crystal system ... tetragonal
DFT formation energy ... -0.093 eV per atom
Density of states at the Fermi level ... 15.9 states/eV/f.u.

Unit cell a=6.576 b=6.576 c=6.611 alpha=90.00 beta=90.00 gamma=90.00
Space group P4/mmm (No. 123)
Asymmetric unit:
Nb  0.000  0.000  0.000 [1 per cell]
Nb  0.000  0.500  0.000 [2 per cell]
Nb  0.000  0.500  0.500 [2 per cell]
Nb  0.247  0.247  0.251 [8 per cell]
Nb  0.500  0.500  0.000 [1 per cell]
Mo  0.000  0.000  0.500 [1 per cell]
Pd  0.500  0.500  0.500 [1 per cell]



2.
NbMo2Pd: relaxed, PBE-GGA.

Total magnetization ... 0.0 Bohr magnetons per cell
Crystal system ... cubic
Excess energy over the best structure of this formula in the dataset ... 0 kJ/mol of formula units
DFT formation energy ... 0.221 eV per atom
Density of states at the Fermi level ... 8.2 states/eV/f.u.

Unit cell a=6.399 b=6.399 c=6.399 alpha=90.00 beta=90.00 gamma=90.00
Space group Fm-3m (No. 225)
Asymmetric unit:
Nb  0.000  0.000  0.000 [4 per cell]
Mo  0.250  0.250  0.250 [8 per cell]
Pd  0.000  0.000  0.500 [4 per cell]



3.
NbMo3Pd: relaxed, PBE-GGA.

Total magnetization ... 0.0 Bohr magnetons per cell
Crystal system ... cubic
Excess energy over the best structure of this formula in the dataset ... 51 kJ/mol of formula units
DFT formation energy ... 1.905 eV per atom
Density of states at the Fermi level ... 9.0 states/eV/f.u.

Unit cell a=4.685 b=4.685 c=4.685 alpha=90.00 beta=90.00 gamma=90.00
Space group Pm-3m (No. 221)
Asymmetric unit:
Nb  0.000  0.000  0.000 [1 per cell]
Mo  0.000  0.500  0.500 [3 per cell]
Pd  0.500  0.500  0.500 [1 per cell]



4.
Nb6MoPd: relaxed, PBE-GGA.

Total magnetization ... 0.0 Bohr magnetons per cell
Crystal system ... tetragonal
DFT formation energy ... -0.099 eV per atom
Density of states at the Fermi level ... 6.2 states/eV/f.u.

Unit cell a=4.626 b=4.626 c=13.156 alpha=90.00 beta=90.00 gamma=90.00
Space group I4/mmm (No. 139)
Asymmetric unit:
Nb  0.000  0.000  0.247 [4 per cell]
Nb  0.000  0.500  0.123 [8 per cell]
Mo  0.000  0.000  0.000 [2 per cell]
Pd  0.000  0.000  0.500 [2 per cell]



5.
Nb3Mo2Pd: relaxed, PBE-GGA.

Total magnetization ... 0.0 Bohr magnetons per cell
Crystal system ... tetragonal
DFT formation energy ... -0.137 eV per atom
Density of states at the Fermi level ... 6.1 states/eV/f.u.

Unit cell a=3.263 b=3.263 c=9.590 alpha=90.00 beta=90.00 gamma=90.00
Space group P4/mmm (No. 123)
Asymmetric unit:
Nb  0.000  0.000  0.000 [1 per cell]
Nb  0.000  0.000  0.325 [2 per cell]
Mo  0.500  0.500  0.171 [2 per cell]
Pd  0.500  0.500  0.500 [1 per cell]



6.
NbMoPd: relaxed, PBE-GGA.

Total magnetization ... 0.0 Bohr magnetons per cell
Crystal system ... trigonal
Excess energy over the best structure of this formula in the dataset ... 67 kJ/mol of formula units
DFT formation energy ... 0.058 eV per atom
Density of states at the Fermi level ... 2.2 states/eV/f.u.

Unit cell a=4.6625 b=4.6625 c=2.6396 alpha=90.00 beta=90.00 gamma=120.00
Space group P3m1 (No. 156)
Asymmetric unit:
Nb  0.0000  0.0000  0.0000 [1 per cell]
Mo  0.3333  0.6667  0.4972 [1 per cell]
Pd  0.6667  0.3333  0.9962 [1 per cell]



7.
NbMoPd: relaxed, PBE-GGA.

Total magnetization ... 0.0 Bohr magnetons per cell
Crystal system ... triclinic
Excess energy over the best structure of this formula in the dataset ... 22 kJ/mol of formula units
DFT formation energy ... -0.098 eV per atom
Density of states at the Fermi level ... 2.8 states/eV/f.u.

Unit cell a=2.750 b=5.205 c=7.092 alpha=80.43 beta=80.73 gamma=82.42
Space group P-1 (No. 2)
Asymmetric unit:
Nb  0.120  0.204  0.325 [2 per cell]
Mo  0.000  0.000  0.000 [1 per cell]
Mo  0.500  0.500  0.000 [1 per cell]
Pd  0.427  0.300  0.666 [2 per cell]



8.
NbMoPd: relaxed, PBE-GGA.

Total magnetization ... 0.0 Bohr magnetons per cell
Crystal system ... monoclinic
Excess energy over the best structure of this formula in the dataset ... 34 kJ/mol of formula units
DFT formation energy ... -0.054 eV per atom
Density of states at the Fermi level ... 2.4 states/eV/f.u.

Unit cell a=9.780 b=3.376 c=6.287 alpha=90.00 beta=107.94 gamma=90.00
Space group Cm (No. 8)
Asymmetric unit:
Nb  0.000  0.000  0.000 [2 per cell]
Nb  0.168  0.500  0.353 [2 per cell]
Mo  0.008  0.000  0.514 [2 per cell]
Mo  0.351  0.000  0.665 [2 per cell]
Pd  0.182  0.500  0.844 [2 per cell]
Pd  0.336  0.000  0.182 [2 per cell]



9.
NbMoPd: relaxed, PBE-GGA.

Total magnetization ... 0.0 Bohr magnetons per cell
Crystal system ... monoclinic
Excess energy over the best structure of this formula in the dataset ... 34 kJ/mol of formula units
DFT formation energy ... -0.055 eV per atom
Density of states at the Fermi level ... 2.7 states/eV/f.u.

Unit cell a=9.564 b=4.355 c=5.654 alpha=90.00 beta=122.97 gamma=90.00
Space group C2/m (No. 12)
Asymmetric unit:
Nb  0.000  0.000  0.000 [2 per cell]
Nb  0.000  0.000  0.500 [2 per cell]
Mo  0.187  0.500  0.344 [4 per cell]
Pd  0.159  0.500  0.834 [4 per cell]



10.
NbMoPd: relaxed, PBE-GGA.

Total magnetization ... 0.0 Bohr magnetons per cell
Crystal system ... tetragonal
Excess energy over the best structure of this formula in the dataset ... 83 kJ/mol of formula units
DFT formation energy ... 0.115 eV per atom
Density of states at the Fermi level ... 5.8 states/eV/f.u.

Unit cell a=3.321 b=3.321 c=9.133 alpha=90.00 beta=90.00 gamma=90.00
Space group I4mm (No. 107)
Asymmetric unit:
Nb  0.000  0.000  0.000 [2 per cell]
Mo  0.000  0.000  0.650 [2 per cell]
Pd  0.000  0.000  0.326 [2 per cell]



11.
NbMoPd2: relaxed, PBE-GGA.

Total magnetization ... 0.0 Bohr magnetons per cell
Crystal system ... tetragonal
Excess energy over the best structure of this formula in the dataset ... 145 kJ/mol of formula units
DFT formation energy ... 0.364 eV per atom
Density of states at the Fermi level ... 3.6 states/eV/f.u.

Unit cell a=7.212 b=7.212 c=5.321 alpha=90.00 beta=90.00 gamma=90.00
Space group I-42d (No. 122)
Asymmetric unit:
Nb  0.000  0.000  0.000 [4 per cell]
Mo  0.000  0.000  0.500 [4 per cell]
Pd  0.247  0.250  0.625 [8 per cell]



12.
NbMo2Pd: relaxed, PBE-GGA.

Total magnetization ... 0.0 Bohr magnetons per cell
Crystal system ... tetragonal
Excess energy over the best structure of this formula in the dataset ... 121 kJ/mol of formula units
DFT formation energy ... 0.534 eV per atom
Density of states at the Fermi level ... 3.0 states/eV/f.u.

Unit cell a=3.782 b=3.782 c=19.620 alpha=90.00 beta=90.00 gamma=90.00
Space group I-42d (No. 122)
Asymmetric unit:
Nb  0.000  0.000  0.000 [4 per cell]
Mo  0.235  0.250  0.125 [8 per cell]
Pd  0.000  0.000  0.500 [4 per cell]



13.
Nb6Mo5Pd: relaxed, PBE-GGA.

Total magnetization ... 0.0 Bohr magnetons per cell
Crystal system ... monoclinic
DFT formation energy ... -0.145 eV per atom
Density of states at the Fermi level ... 7.5 states/eV/f.u.

Unit cell a=14.450 b=6.465 c=4.582 alpha=90.00 beta=108.41 gamma=90.00
Space group C2/m (No. 12)
Asymmetric unit:
Nb  0.000  0.241  0.000 [4 per cell]
Nb  0.169  0.246  0.669 [8 per cell]
Mo  0.000  0.000  0.500 [2 per cell]
Mo  0.163  0.500  0.164 [4 per cell]
Mo  0.167  0.000  0.167 [4 per cell]
Pd  0.000  0.500  0.500 [2 per cell]



14.
NbMoPd: relaxed, PBE-GGA.

Total magnetization ... 0.0 Bohr magnetons per cell
Crystal system ... triclinic
Excess energy over the best structure of this formula in the dataset ... 42 kJ/mol of formula units
DFT formation energy ... -0.029 eV per atom
Density of states at the Fermi level ... 2.8 states/eV/f.u.

Unit cell a=4.766 b=4.971 c=5.095 alpha=99.36 beta=102.29 gamma=118.65
Space group P1 (No. 1)
Asymmetric unit:
Nb  0.000  0.000  0.000 [1 per cell]
Nb  0.177  0.816  0.499 [1 per cell]
Mo  0.504  0.487  0.504 [1 per cell]
Mo  0.832  0.165  0.507 [1 per cell]
Pd  0.342  0.664  0.005 [1 per cell]
Pd  0.668  0.327  0.003 [1 per cell]